# GGA-PBE Zn2FeP, relaxed
data_Zn2FeP
_chemical_formula_sum 'Zn4 Fe2 P2'
_cell_length_a 3.530
_cell_length_b 3.945
_cell_length_c 8.072
_cell_angle_alpha 90.00
_cell_angle_beta 90.00
_cell_angle_gamma 90.00
_space_group_name_H-M_alt 'C m m m'
_space_group_IT_number 65
_space_group_name_Hall '-C 2 2'
loop_
_atom_site_label
_atom_site_fract_x
_atom_site_fract_y
_atom_site_fract_z
_atom_site_occupancy
Zn1 0.000 0.000 0.229 1
Fe1 0.000 0.500 0.000 1
P1 0.000 0.500 0.500 1
# energy of formation from the pure elements: 0.206 eV/atom
# spin magnetization: 2.36 μB per formula unit
# E_tot: -0.14328 hartree per atom
# V: 112.4 Å³/cell